This record from the Alexandria database describes crystalline BMo2SCl at its relaxed geometry. The functional is PBE.

```
data_BMo2SCl
_chemical_formula_sum 'B1 Mo2 S1 Cl1'
_cell_length_a 4.415
_cell_length_b 5.910
_cell_length_c 4.415
_cell_angle_alpha 90.00
_cell_angle_beta 90.00
_cell_angle_gamma 90.00
_space_group_name_H-M_alt 'P 1'
_space_group_IT_number 1
_space_group_name_Hall 'P 1'
loop_
_atom_site_label
_atom_site_type_symbol
_atom_site_fract_x
_atom_site_fract_y
_atom_site_fract_z
_atom_site_occupancy
Mo1 Mo 0.000 0.000 0.500 1
Mo2 Mo 0.500 0.000 0.000 1
B1 B 0.500 0.500 0.500 1
S1 S 0.000 0.000 0.000 1
Cl1 Cl 0.000 0.500 0.000 1
```

Computed properties:
The value obtained for the formation energy (no corrections) is 1.80 eV per atom. The calculation puts the total magnetic moment at 2.33 μB per formula unit. The symmetry is P4/mmm, No. 123.